(1)
Density functional theory data (PBE-GGA) for crystalline BaAlInCl2 at its relaxed geometry.

Calculated values
V = 29.98 Å³/atom
total energy = -16.07 eV for the cell shown

Unit cell a=5.245 b=5.245 c=5.449 alpha=90.00 beta=90.00 gamma=90.00
Space group P4/mmm (No. 123)
Inequivalent atoms, fractional coordinates:
Ba 0.000 0.000 0.000 [1 per cell]
Al 0.500 0.500 0.500 [1 per cell]
In 0.500 0.500 0.000 [1 per cell]
Cl 0.000 0.500 0.500 [2 per cell]



(2)
Density functional theory data (PBE-GGA) for crystalline ZnGa2O at its relaxed geometry.

Calculated values
V = 15.52 Å³/atom
total energy = -48.69 eV for the cell shown

Unit cell a=6.285 b=6.285 c=6.285 alpha=90.00 beta=90.00 gamma=90.00
Space group Fm-3m (No. 225)
Inequivalent atoms, fractional coordinates:
Zn 0.000 0.000 0.000 [4 per cell]
Ga 0.250 0.250 0.250 [8 per cell]
O 0.000 0.000 0.500 [4 per cell]